This record from Alexandria describes crystalline Nd4Dy3Er at its relaxed geometry. The functional is PBE.

a = 11.9291 Å, b = 11.9291 Å, c = 6.8270 Å
α = 106.44°, β = 106.44°, γ = 16.87°
Closest atoms and distances in Å follow each position.
Positions (direct):
Nd1 0.1234 0.1234 0.3681  3 Dy 3.28-3.51, 5 Nd 3.50-3.60
Nd2 0.2595 0.2595 0.7650  7 Nd 3.50-3.79, 3 Dy 3.56-3.58
Nd3 0.7405 0.7405 0.2350  7 Nd 3.50-3.79, 3 Dy 3.56-3.58
Nd4 0.8766 0.8766 0.6319  3 Dy 3.28-3.51, 5 Nd 3.50-3.60
Dy1 0.0000 0.0000 0.5000  4 Dy 3.28-3.50, 2 Nd 3.28
Dy2 0.1220 0.1220 0.8815  3 Dy 3.28-3.50, 5 Nd 3.31-3.58, 2 Er 3.65
Dy3 0.8780 0.8780 0.1185  3 Dy 3.28-3.50, 5 Nd 3.31-3.58, 2 Er 3.65
Er1 0.5000 0.5000 0.0000  2 Er 3.50, 8 Dy 3.65-3.84, 4 Nd 3.70

This record from Alexandria describes crystalline Nd4Dy3Er8 at its relaxed geometry. The functional is PBE.

a = 9.2646 Å, b = 9.2646 Å, c = 6.7286 Å
α = 111.17°, β = 111.17°, γ = 87.64°
Closest atoms and distances in Å follow each position.
Positions (direct):
Nd1 0.0000 0.0000 0.0000  6 Er 3.28-3.51, 2 Nd 3.36
Nd2 0.0000 0.0000 0.5000  2 Nd 3.36, 4 Er 3.54-3.60
Nd3 0.0000 0.5000 0.0000  4 Er 3.22-3.34, 2 Dy 3.36
Nd4 0.5000 0.0000 0.0000  4 Er 3.22-3.34, 2 Dy 3.36
Dy1 0.0000 0.5000 0.5000  4 Er 3.21-3.35, 2 Nd 3.36
Dy2 0.5000 0.0000 0.5000  4 Er 3.21-3.35, 2 Nd 3.36
Dy3 0.5000 0.5000 0.0000  6 Er 3.14-3.20
Er1 0.2553 0.7447 0.0000  3 Dy 3.14-3.35, 3 Nd 3.28-3.34
Er2 0.2677 0.2677 0.5119  3 Dy 3.20-3.21, 2 Er 3.22-3.51, 2 Nd 3.51-3.54
Er3 0.2700 0.2700 0.0353  1 Dy 3.20, 3 Nd 3.22-3.50, 4 Er 3.22-3.56
Er4 0.3629 0.6371 0.5000  7 Er 3.52-3.64, 4 Dy 3.64-3.80, 2 Nd 3.65
Er5 0.6371 0.3629 0.5000  7 Er 3.52-3.64, 4 Dy 3.64-3.80, 2 Nd 3.65
Er6 0.7300 0.7300 0.9647  1 Dy 3.20, 3 Nd 3.22-3.50, 4 Er 3.22-3.56
Er7 0.7323 0.7323 0.4881  3 Dy 3.20-3.21, 2 Er 3.22-3.51, 2 Nd 3.51-3.54
Er8 0.7447 0.2553 0.0000  3 Dy 3.14-3.35, 3 Nd 3.28-3.34

DFT total energy list, top to bottom, in eV/atom: -4.515 -4.254
Distance to the lowest polymorph of the same formula list, top to bottom, in meV per atom: 137 250
Magnetization list, top to bottom, in μB/atom: 0.000 0.000